The following is a DFT calculation (PBE-GGA) of a relaxed structure of LiPN2O.

Values from the calculation:
* uncorrected formation energy: 1.68 eV per atom
* mass density: 2.709 g cm⁻³
* DFT total energy: -4.103 eV per atom

```
data_LiPN2O
_chemical_formula_sum 'Li1 P1 N2 O1'
_space_group_name_H-M_alt 'P 4/m m m'
_space_group_IT_number 123
_space_group_name_Hall '-P 4 2'
_cell_length_a 3.799
_cell_length_b 3.799
_cell_length_c 3.481
_cell_angle_alpha 90.00
_cell_angle_beta 90.00
_cell_angle_gamma 90.00
loop_
_atom_site_label
_atom_site_fract_x
_atom_site_fract_y
_atom_site_fract_z
_atom_site_occupancy
Li1 0.000 0.000 0.000 1
P1 0.500 0.500 0.500 1
N1 0.000 0.500 0.000 1
O1 0.000 0.000 0.500 1
```

The following is a DFT calculation (PBE-GGA) of a relaxed structure of CaTlNi2.

Values from the calculation:
* DFT formation energy: 0.06 eV/atom
* mass density: 7.971 g cm⁻³
* DFT total energy: -3.920 eV per atom

```
data_CaTlNi2
_chemical_formula_sum 'Ca1 Tl1 Ni2'
_space_group_name_H-M_alt 'P 4 m m'
_space_group_IT_number 99
_space_group_name_Hall 'P 4 -2'
_cell_length_a 3.276
_cell_length_b 3.276
_cell_length_c 7.024
_cell_angle_alpha 90.00
_cell_angle_beta 90.00
_cell_angle_gamma 90.00
loop_
_atom_site_label
_atom_site_fract_x
_atom_site_fract_y
_atom_site_fract_z
_atom_site_occupancy
Ca1 0.000 0.000 0.000 1
Tl1 0.500 0.500 0.648 1
Ni1 0.000 0.000 0.398 1
Ni2 0.500 0.500 0.269 1
```

The following is a DFT calculation (PBE-GGA) of a relaxed structure of NaLi2TiF6.

Values from the calculation:
* relative energy among the computed polymorphs: 0 meV/atom
* uncorrected formation energy: -3.06 eV per atom
* mass density: 2.806 g cm⁻³
* DFT total energy: -5.485 eV per atom

```
data_NaLi2TiF6
_chemical_formula_sum 'Na1 Li2 Ti1 F6'
_space_group_name_H-M_alt 'P 1'
_space_group_IT_number 1
_space_group_name_Hall 'P 1'
_cell_length_a 5.246
_cell_length_b 5.305
_cell_length_c 5.664
_cell_angle_alpha 62.87
_cell_angle_beta 63.92
_cell_angle_gamma 60.82
loop_
_atom_site_label
_atom_site_fract_x
_atom_site_fract_y
_atom_site_fract_z
_atom_site_occupancy
Na1 0.000 0.000 0.000 1
Li1 0.222 0.187 0.370 1
Li2 0.717 0.729 0.847 1
Ti1 0.507 0.509 0.469 1
F1 0.114 0.775 0.672 1
F2 0.316 0.557 0.215 1
F3 0.425 0.114 0.671 1
F4 0.567 0.899 0.192 1
F5 0.747 0.448 0.684 1
F6 0.901 0.316 0.214 1
```

The following is a DFT calculation (PBE-GGA) of a relaxed structure of Y2Ga5Cu.

Values from the calculation:
* DFT formation energy: -0.47 eV/atom
* mass density: 6.329 g cm⁻³
* DFT total energy: -4.485 eV per atom

```
data_Y2Ga5Cu
_chemical_formula_sum 'Y4 Ga10 Cu2'
_space_group_name_H-M_alt 'I 4 m m'
_space_group_IT_number 107
_space_group_name_Hall 'I 4 -2'
_cell_length_a 5.960
_cell_length_b 5.960
_cell_length_c 8.715
_cell_angle_alpha 90.00
_cell_angle_beta 90.00
_cell_angle_gamma 90.00
loop_
_atom_site_label
_atom_site_fract_x
_atom_site_fract_y
_atom_site_fract_z
_atom_site_occupancy
Y1 0.000 0.500 0.000 1
Ga1 0.000 0.000 0.032 1
Ga2 0.232 0.232 0.751 1
Cu1 0.000 0.000 0.396 1
```

The following is a DFT calculation (PBE-GGA) of a relaxed structure of SrCeTeO6.

Values from the calculation:
* uncorrected formation energy: -2.28 eV per atom
* mass density: 5.133 g cm⁻³
* DFT total energy: -6.783 eV per atom

```
data_SrCeTeO6
_chemical_formula_sum 'Sr2 Ce2 Te2 O12'
_space_group_name_H-M_alt 'P -3 1 c'
_space_group_IT_number 163
_space_group_name_Hall '-P 3 2c'
_cell_length_a 5.7134
_cell_length_b 5.7134
_cell_length_c 10.3304
_cell_angle_alpha 90.00
_cell_angle_beta 90.00
_cell_angle_gamma 120.00
loop_
_atom_site_label
_atom_site_fract_x
_atom_site_fract_y
_atom_site_fract_z
_atom_site_occupancy
Sr1 0.0000 0.0000 0.0000 1
Ce1 0.3333 0.6667 0.2500 1
Te1 0.3333 0.6667 0.7500 1
O1 0.0415 0.3898 0.6442 1
```

The following is a DFT calculation (PBE-GGA) of a relaxed structure of BaSn2I6.

Values from the calculation:
* relative energy among the computed polymorphs: 3 meV/atom
* uncorrected formation energy: -0.90 eV per atom
* mass density: 4.136 g cm⁻³
* DFT total energy: -3.037 eV per atom

```
data_BaSn2I6
_chemical_formula_sum 'Ba3 Sn6 I18'
_space_group_name_H-M_alt 'R 3'
_space_group_IT_number 146
_space_group_name_Hall 'R 3'
_cell_length_a 8.3044
_cell_length_b 8.3044
_cell_length_c 22.9138
_cell_angle_alpha 90.00
_cell_angle_beta 90.00
_cell_angle_gamma 120.00
loop_
_atom_site_label
_atom_site_fract_x
_atom_site_fract_y
_atom_site_fract_z
_atom_site_occupancy
Ba1 0.0000 0.0000 0.0000 1
Sn1 0.0000 0.0000 0.6313 1
Sn2 0.0000 0.0000 0.8123 1
I1 0.0288 0.3547 0.5619 1
I2 0.0639 0.7153 0.3875 1
```

The following is a DFT calculation (PBE-GGA) of a relaxed structure of AlSiOs.

Values from the calculation:
* uncorrected formation energy: -0.16 eV per atom
* mass density: 9.281 g cm⁻³
* DFT total energy: -6.955 eV per atom

```
data_AlSiOs
_chemical_formula_sum 'Al1 Si1 Os1'
_space_group_name_H-M_alt 'P -6 m 2'
_space_group_IT_number 187
_space_group_name_Hall 'P -6 2'
_cell_length_a 4.0888
_cell_length_b 4.0888
_cell_length_c 3.0313
_cell_angle_alpha 90.00
_cell_angle_beta 90.00
_cell_angle_gamma 120.00
loop_
_atom_site_label
_atom_site_fract_x
_atom_site_fract_y
_atom_site_fract_z
_atom_site_occupancy
Al1 0.0000 0.0000 0.0000 1
Si1 0.3333 0.6667 0.5000 1
Os1 0.6667 0.3333 0.5000 1
```

The following is a DFT calculation (PBE-GGA) of a relaxed structure of Th4As3P.

Values from the calculation:
* DFT formation energy: -1.42 eV/atom
* relative energy among the computed polymorphs: 19 meV/atom
* mass density: 9.202 g cm⁻³
* DFT total energy: -7.547 eV per atom

```
data_Th4As3P
_chemical_formula_sum 'Th4 As3 P1'
_space_group_name_H-M_alt 'P m -3 m'
_space_group_IT_number 221
_space_group_name_Hall '-P 4 2 3'
_cell_length_a 5.978
_cell_length_b 5.978
_cell_length_c 5.978
_cell_angle_alpha 90.00
_cell_angle_beta 90.00
_cell_angle_gamma 90.00
loop_
_atom_site_label
_atom_site_fract_x
_atom_site_fract_y
_atom_site_fract_z
_atom_site_occupancy
Th1 0.000 0.000 0.000 1
Th2 0.000 0.500 0.500 1
As1 0.000 0.000 0.500 1
P1 0.500 0.500 0.500 1
```